## a
DFT (meta-GGA SCAN) results for a PBEsol-optimized structure of TcW2.

Properties
N(E_F) in states/eV/cell: 8.374
Magnetization in μB/cell: 0.00

Unit cell a=9.856 b=3.121 c=6.267 alpha=90.00 beta=108.88 gamma=90.00
Element x y z (fractional)
Tc 0.162 0.000 0.087
Tc 0.338 0.500 0.913
Tc 0.662 0.500 0.087
Tc 0.838 0.000 0.913
W 0.004 0.500 0.751
W 0.168 0.000 0.585
W 0.332 0.500 0.415
W 0.496 0.000 0.249
W 0.504 0.000 0.751
W 0.668 0.500 0.585
W 0.832 0.000 0.415
W 0.996 0.500 0.249

---

## b
DFT (meta-GGA SCAN) results for a PBEsol-optimized structure of TcW2.

Properties
N(E_F) in states/eV/cell: 8.584
Magnetization in μB/cell: 0.00

Unit cell a=3.124 b=13.206 c=4.423 alpha=90.00 beta=90.00 gamma=90.00
Element x y z (fractional)
Tc 0.000 0.081 0.250
Tc 0.000 0.919 0.750
Tc 0.500 0.419 0.750
Tc 0.500 0.581 0.250
W 0.000 0.248 0.750
W 0.000 0.416 0.250
W 0.000 0.584 0.750
W 0.000 0.752 0.250
W 0.500 0.084 0.750
W 0.500 0.252 0.250
W 0.500 0.748 0.750
W 0.500 0.916 0.250

---

Energies relative to the most stable structure are a 0.009; b 0.000, reported in eV/atom.

---

## a
DFT (meta-GGA SCAN) results for a PBEsol-optimized structure of YTcW2.

Properties
N(E_F) in states/eV/cell: 3.911
Magnetization in μB/cell: 0.00

Unit cell a=3.172 b=3.172 c=7.017 alpha=90.00 beta=90.00 gamma=90.00
Element x y z (fractional)
Y 0.000 0.000 0.000
Tc 0.500 0.500 0.288
W 0.000 0.000 0.492
W 0.500 0.500 0.708

---

## b
DFT (meta-GGA SCAN) results for a PBEsol-optimized structure of YTcW2.

Properties
N(E_F) in states/eV/cell: 2.716
Magnetization in μB/cell: 0.00

Unit cell a=3.817 b=3.817 c=4.803 alpha=90.00 beta=90.00 gamma=90.00
Element x y z (fractional)
Y 0.000 0.000 0.000
Tc 0.500 0.500 0.000
W 0.000 0.500 0.500
W 0.500 0.000 0.500

---

Energies relative to the most stable structure are a 0.000; b 0.393, reported in eV/atom.

---

## a
DFT (meta-GGA SCAN) results for a PBEsol-optimized structure of Zn2TcW.

Properties
N(E_F) in states/eV/cell: 1.999
Magnetization in μB/cell: 0.00

Unit cell a=3.149 b=4.160 c=4.338 alpha=90.00 beta=90.00 gamma=90.00
Element x y z (fractional)
Zn 0.000 0.000 0.000
Zn 0.500 0.500 0.000
Tc 0.000 0.500 0.500
W 0.500 0.000 0.500

---

## b
DFT (meta-GGA SCAN) results for a PBEsol-optimized structure of Zn2TcW.

Properties
N(E_F) in states/eV/cell: 10.106
Magnetization in μB/cell: 0.00

Unit cell a=6.095 b=6.095 c=6.095 alpha=90.00 beta=90.00 gamma=90.00
Element x y z (fractional)
Zn 0.000 0.000 0.000
Zn 0.000 0.500 0.500
Zn 0.250 0.250 0.250
Zn 0.250 0.750 0.750
Zn 0.500 0.000 0.500
Zn 0.500 0.500 0.000
Zn 0.750 0.250 0.750
Zn 0.750 0.750 0.250
Tc 0.000 0.000 0.500
Tc 0.000 0.500 0.000
Tc 0.500 0.000 0.000
Tc 0.500 0.500 0.500
W 0.250 0.250 0.750
W 0.250 0.750 0.250
W 0.750 0.250 0.250
W 0.750 0.750 0.750

---

Energies relative to the most stable structure are a 0.006; b 0.000, reported in eV/atom.

---

## a
DFT (meta-GGA SCAN) results for a PBEsol-optimized structure of YTc2.

Properties
N(E_F) in states/eV/cell: 20.156
Magnetization in μB/cell: 0.00

Unit cell a=5.313 b=5.313 c=17.510 alpha=90.00 beta=90.00 gamma=120.00
Element x y z (fractional)
Y 0.000 0.000 0.093
Y 0.000 0.000 0.407
Y 0.000 0.000 0.593
Y 0.000 0.000 0.907
Y 0.333 0.667 0.156
Y 0.333 0.667 0.344
Y 0.667 0.333 0.656
Y 0.667 0.333 0.844
Tc 0.000 0.500 0.000
Tc 0.000 0.500 0.500
Tc 0.161 0.322 0.750
Tc 0.161 0.839 0.750
Tc 0.322 0.161 0.250
Tc 0.333 0.667 0.630
Tc 0.333 0.667 0.870
Tc 0.500 0.000 0.000
Tc 0.500 0.000 0.500
Tc 0.500 0.500 0.000
Tc 0.500 0.500 0.500
Tc 0.667 0.333 0.130
Tc 0.667 0.333 0.370
Tc 0.678 0.839 0.750
Tc 0.839 0.161 0.250
Tc 0.839 0.678 0.250

---

## b
DFT (meta-GGA SCAN) results for a PBEsol-optimized structure of YTc2.

Properties
N(E_F) in states/eV/cell: 1.773
Magnetization in μB/cell: 0.00

Unit cell a=4.327 b=4.327 c=3.360 alpha=90.00 beta=90.00 gamma=120.00
Element x y z (fractional)
Y 0.000 0.000 0.000
Tc 0.333 0.667 0.565
Tc 0.667 0.333 0.435

---

Energies relative to the most stable structure are a 0.000; b 0.388, reported in eV/atom.

---

## a
DFT (meta-GGA SCAN) results for a PBEsol-optimized structure of ZnTc2.

Properties
N(E_F) in states/eV/cell: 1.889
Magnetization in μB/cell: 0.00

Unit cell a=4.283 b=4.283 c=2.610 alpha=90.00 beta=90.00 gamma=120.00
Element x y z (fractional)
Zn 0.000 0.000 0.000
Tc 0.333 0.667 0.624
Tc 0.667 0.333 0.376

---

## b
DFT (meta-GGA SCAN) results for a PBEsol-optimized structure of ZnTc2.

Properties
N(E_F) in states/eV/cell: 1.379
Magnetization in μB/cell: 0.00

Unit cell a=2.727 b=2.727 c=6.510 alpha=90.00 beta=90.00 gamma=120.00
Element x y z (fractional)
Zn 0.000 0.000 0.000
Tc 0.333 0.667 0.655
Tc 0.667 0.333 0.345

---

Energies relative to the most stable structure are a 0.060; b 0.000, reported in eV/atom.

---

## a
DFT (meta-GGA SCAN) results for a PBEsol-optimized structure of ZnTc2.

Properties
N(E_F) in states/eV/cell: 2.253
Magnetization in μB/cell: 0.00

Unit cell a=3.026 b=3.026 c=9.005 alpha=90.00 beta=90.00 gamma=90.00
Element x y z (fractional)
Zn 0.000 0.000 0.000
Zn 0.500 0.500 0.500
Tc 0.000 0.000 0.326
Tc 0.000 0.000 0.674
Tc 0.500 0.500 0.174
Tc 0.500 0.500 0.826

---

## b
DFT (meta-GGA SCAN) results for a PBEsol-optimized structure of ZnTc2.

Properties
N(E_F) in states/eV/cell: 9.575
Magnetization in μB/cell: 0.00

Unit cell a=2.765 b=13.758 c=4.309 alpha=90.00 beta=90.00 gamma=90.00
Element x y z (fractional)
Zn 0.000 0.111 0.250
Zn 0.000 0.889 0.750
Zn 0.500 0.389 0.750
Zn 0.500 0.611 0.250
Tc 0.000 0.218 0.750
Tc 0.000 0.445 0.250
Tc 0.000 0.555 0.750
Tc 0.000 0.782 0.250
Tc 0.500 0.055 0.750
Tc 0.500 0.282 0.250
Tc 0.500 0.718 0.750
Tc 0.500 0.945 0.250

---

Energies relative to the most stable structure are a 0.000; b 0.080, reported in eV/atom.

---

## a
DFT (meta-GGA SCAN) results for a PBEsol-optimized structure of Zr4Tc.

Properties
N(E_F) in states/eV/cell: 9.686
Magnetization in μB/cell: 0.00

Unit cell a=3.612 b=3.612 c=16.573 alpha=90.00 beta=90.00 gamma=90.00
Element x y z (fractional)
Zr 0.000 0.000 0.085
Zr 0.000 0.000 0.915
Zr 0.000 0.500 0.250
Zr 0.000 0.500 0.750
Zr 0.500 0.000 0.250
Zr 0.500 0.000 0.750
Zr 0.500 0.500 0.415
Zr 0.500 0.500 0.585
Tc 0.000 0.000 0.500
Tc 0.500 0.500 0.000

---

## b
DFT (meta-GGA SCAN) results for a PBEsol-optimized structure of Zr4Tc.

Properties
N(E_F) in states/eV/cell: 9.643
Magnetization in μB/cell: 0.00

Unit cell a=7.809 b=7.809 c=3.289 alpha=90.00 beta=90.00 gamma=90.00
Element x y z (fractional)
Zr 0.085 0.724 0.000
Zr 0.224 0.415 0.500
Zr 0.276 0.085 0.000
Zr 0.415 0.776 0.500
Zr 0.585 0.224 0.500
Zr 0.724 0.915 0.000
Zr 0.776 0.585 0.500
Zr 0.915 0.276 0.000
Tc 0.000 0.000 0.500
Tc 0.500 0.500 0.000

---

Energies relative to the most stable structure are a 0.902; b 0.000, reported in eV/atom.

---

## a
DFT (meta-GGA SCAN) results for a PBEsol-optimized structure of Te.

Properties
N(E_F) in states/eV/cell: 0.074
Magnetization in μB/cell: 0.00

Unit cell a=7.150 b=7.150 c=7.150 alpha=115.39 beta=115.39 gamma=115.39
Element x y z (fractional)
Te 0.064 0.653 0.803
Te 0.197 0.936 0.347
Te 0.347 0.197 0.936
Te 0.653 0.803 0.064
Te 0.803 0.064 0.653
Te 0.936 0.347 0.197

---

## b
DFT (meta-GGA SCAN) results for a PBEsol-optimized structure of Te.

Properties
Magnetization in μB/cell: 0.00

Unit cell a=4.309 b=4.309 c=5.959 alpha=90.00 beta=90.00 gamma=120.00
Element x y z (fractional)
Te 0.000 0.286 0.333
Te 0.286 0.000 0.667
Te 0.714 0.714 0.000

---

## c
DFT (meta-GGA SCAN) results for a PBEsol-optimized structure of Te.

Properties
N(E_F) in states/eV/cell: 8.346
Magnetization in μB/cell: 0.00

Unit cell a=7.058 b=7.058 c=7.058 alpha=90.00 beta=90.00 gamma=90.00
Element x y z (fractional)
Te 0.125 0.125 0.125
Te 0.125 0.625 0.625
Te 0.375 0.375 0.875
Te 0.375 0.875 0.375
Te 0.625 0.125 0.625
Te 0.625 0.625 0.125
Te 0.875 0.375 0.375
Te 0.875 0.875 0.875

---

Energies relative to the most stable structure are a 0.013; b 0.000; c 0.504, reported in eV/atom.

---

## a
DFT (meta-GGA SCAN) results for a PBEsol-optimized structure of Te.

Properties
N(E_F) in states/eV/cell: 0.529
Magnetization in μB/cell: 0.00

Unit cell a=3.149 b=3.149 c=3.149 alpha=90.00 beta=90.00 gamma=90.00
Element x y z (fractional)
Te 0.000 0.000 0.000

---

## b
DFT (meta-GGA SCAN) results for a PBEsol-optimized structure of Te.

Properties
Magnetization in μB/cell: 0.00

Unit cell a=4.310 b=4.310 c=5.957 alpha=90.00 beta=90.00 gamma=120.00
Element x y z (fractional)
Te 0.000 0.286 0.167
Te 0.286 0.000 0.833
Te 0.714 0.714 0.500

---

Energies relative to the most stable structure are a 0.027; b 0.000, reported in eV/atom.

---

## a
DFT (meta-GGA SCAN) results for a PBEsol-optimized structure of YTl2Te.

Properties
N(E_F) in states/eV/cell: 1.767
Magnetization in μB/cell: 0.00

Unit cell a=4.050 b=4.050 c=6.773 alpha=90.00 beta=90.00 gamma=90.00
Element x y z (fractional)
Y 0.000 0.000 0.000
Tl 0.000 0.000 0.488
Tl 0.500 0.500 0.708
Te 0.500 0.500 0.169

---

## b
DFT (meta-GGA SCAN) results for a PBEsol-optimized structure of YTl2Te.

Properties
N(E_F) in states/eV/cell: 2.021
Magnetization in μB/cell: 0.00

Unit cell a=4.218 b=4.218 c=6.190 alpha=90.00 beta=90.00 gamma=90.00
Element x y z (fractional)
Y 0.000 0.000 0.000
Tl 0.500 0.500 0.247
Tl 0.500 0.500 0.753
Te 0.000 0.000 0.500

---

## c
DFT (meta-GGA SCAN) results for a PBEsol-optimized structure of YTl2Te.

Properties
N(E_F) in states/eV/cell: 3.793
Magnetization in μB/cell: 0.00

Unit cell a=4.703 b=4.714 c=9.566 alpha=90.00 beta=90.00 gamma=90.00
Element x y z (fractional)
Y 0.000 0.000 0.000
Y 0.500 0.500 0.500
Tl 0.000 0.000 0.500
Tl 0.000 0.500 0.250
Tl 0.500 0.000 0.750
Tl 0.500 0.500 0.000
Te 0.000 0.500 0.750
Te 0.500 0.000 0.250

---

Energies relative to the most stable structure are a 0.000; b 0.253; c 0.104, reported in eV/atom.

---

## a
DFT (meta-GGA SCAN) results for a PBEsol-optimized structure of TeW.

Properties
N(E_F) in states/eV/cell: 2.308
Magnetization in μB/cell: 0.00

Unit cell a=3.186 b=3.186 c=8.112 alpha=90.00 beta=90.00 gamma=90.00
Element x y z (fractional)
Te 0.250 0.250 0.192
Te 0.750 0.750 0.808
W 0.250 0.250 0.605
W 0.750 0.750 0.395

---

## b
DFT (meta-GGA SCAN) results for a PBEsol-optimized structure of TeW.

Properties
N(E_F) in states/eV/cell: 8.714
Magnetization in μB/cell: 5.89

Unit cell a=6.046 b=6.046 c=6.046 alpha=90.00 beta=90.00 gamma=90.00
Element x y z (fractional)
Te 0.000 0.000 0.000
Te 0.000 0.500 0.500
Te 0.500 0.000 0.500
Te 0.500 0.500 0.000
W 0.250 0.250 0.750
W 0.250 0.750 0.250
W 0.750 0.250 0.250
W 0.750 0.750 0.750

---

Energies relative to the most stable structure are a 0.000; b 1.088, reported in eV/atom.

---

## a
DFT (meta-GGA SCAN) results for a PBEsol-optimized structure of TeW.

Properties
N(E_F) in states/eV/cell: 19.237
Magnetization in μB/cell: 0.00

Unit cell a=6.781 b=6.781 c=6.781 alpha=90.00 beta=90.00 gamma=90.00
Element x y z (fractional)
Te 0.125 0.125 0.125
Te 0.125 0.625 0.625
Te 0.375 0.375 0.875
Te 0.375 0.875 0.375
Te 0.625 0.125 0.625
Te 0.625 0.625 0.125
Te 0.875 0.375 0.375
Te 0.875 0.875 0.875
W 0.125 0.125 0.625
W 0.125 0.625 0.125
W 0.375 0.375 0.375
W 0.375 0.875 0.875
W 0.625 0.125 0.125
W 0.625 0.625 0.625
W 0.875 0.375 0.875
W 0.875 0.875 0.375

---

## b
DFT (meta-GGA SCAN) results for a PBEsol-optimized structure of TeW.

Properties
N(E_F) in states/eV/cell: 1.606
Magnetization in μB/cell: 0.00

Unit cell a=8.791 b=3.355 c=6.732 alpha=90.00 beta=99.74 gamma=90.00
Element x y z (fractional)
Te 0.106 0.000 0.271
Te 0.394 0.500 0.729
Te 0.606 0.500 0.271
Te 0.894 0.000 0.729
W 0.140 0.500 0.947
W 0.360 0.000 0.053
W 0.640 0.000 0.947
W 0.860 0.500 0.053

---

Energies relative to the most stable structure are a 0.922; b 0.000, reported in eV/atom.